[1]
Sr2PmBr2N2 | PBE | relaxed

Summary:
Size of the total moment = 0.34 Bohr magnetons per cell
E_form (uncorrected) = -1294 meV per atom

Unit cell a=4.597 b=4.597 c=8.711 alpha=105.30 beta=105.30 gamma=90.00
Site moments in Bohr magnetons follow the coordinates.
Sites, in units of the cell vectors:
Sr 0.396 0.396 0.791  0.00
Sr 0.604 0.604 0.209  0.00
Pm 0.000 0.000 0.000  0.04
Br 0.186 0.186 0.372  0.00
Br 0.814 0.814 0.628  0.00
N 0.000 0.500 0.000  0.12
N 0.500 0.000 0.000  0.12

***

[2]
TbPmBrN | PBE | relaxed

Summary:
Size of the total moment = 0.00 Bohr magnetons per cell
E_form (uncorrected) = -1424 meV per atom

Unit cell a=3.657 b=3.657 c=7.521 alpha=90.00 beta=104.07 gamma=120.00
Sites, in units of the cell vectors:
Tb 0.085 0.941 0.041
Pm 0.512 0.154 0.681
Br 0.961 0.378 0.354
N 0.320 0.558 0.893

***

[3]
Pm2TmBr2N2 | PBE | relaxed

Summary:
Size of the total moment = 0.98 Bohr magnetons per cell
E_form (uncorrected) = -1415 meV per atom

Unit cell a=4.419 b=4.419 c=9.025 alpha=104.17 beta=104.17 gamma=90.00
Site moments in Bohr magnetons follow the coordinates.
Sites, in units of the cell vectors:
Pm 0.414 0.414 0.827  0.35
Pm 0.586 0.586 0.173  0.35
Tm 0.000 0.000 0.000  0.02
Br 0.172 0.172 0.344  0.01
Br 0.828 0.828 0.656  0.01
N 0.000 0.500 0.000  -0.02
N 0.500 0.000 0.000  -0.02

***

[4]
PrBrN | PBE | relaxed

Summary:
Size of the total moment = 0.00 Bohr magnetons per cell
E_form (uncorrected) = -1028 meV per atom

Unit cell a=3.807 b=3.807 c=10.578 alpha=100.37 beta=100.37 gamma=90.00
Sites, in units of the cell vectors:
Pr 0.078 0.078 0.157
Pr 0.922 0.922 0.843
N 0.000 0.500 0.000
N 0.500 0.000 0.000
Br 0.661 0.661 0.322
Br 0.339 0.339 0.678

***

[5]
PrBrN | PBE | relaxed

Summary:
Size of the total moment = 0.00 Bohr magnetons per cell
E_form (uncorrected) = -1409 meV per atom

Unit cell a=3.799 b=4.138 c=11.006 alpha=98.49 beta=90.00 gamma=117.32
Sites, in units of the cell vectors:
Pr 0.408 0.815 0.131
Pr 0.592 0.185 0.869
Br 0.788 0.576 0.314
Br 0.212 0.424 0.686
N 0.076 0.151 0.050
N 0.924 0.849 0.950

***

[6]
Pr3Br2N2 | PBE | relaxed

Summary:
Size of the total moment = 0.24 Bohr magnetons per cell
E_form (uncorrected) = -1463 meV per atom

Unit cell a=3.934 b=9.089 c=11.108 alpha=76.43 beta=79.80 gamma=77.50
Sites, in units of the cell vectors:
Pr 0.087 0.014 0.811
Pr 0.913 0.986 0.189
Pr 0.106 0.545 0.243
Pr 0.894 0.455 0.757
Pr 0.417 0.709 0.457
Pr 0.583 0.291 0.543
Br 0.258 0.141 0.343
Br 0.742 0.859 0.657
Br 0.416 0.205 0.962
Br 0.584 0.795 0.038
N 0.048 0.232 0.673
N 0.952 0.768 0.327
N 0.425 0.508 0.642
N 0.575 0.492 0.358

***

> What is the E_form (uncorrected) in the first record?

-1294 meV per atom